Entry 1:
VASP calculation (PBE) on a geometry-optimized TaAgOs2 structure.

POSCAR file:
```
TaAgOs2
1.0
-7.4898 -5.0377 3.3601
-6.1634 -4.6173 5.7845
-7.9136 -2.6758 4.7939
Os Ta Ag
2 1 1
Direct
0.9946 0.9946 0.9946
0.2545 0.2545 0.2545
0.5034 0.5034 0.5034
0.7475 0.7475 0.7475
```

Calculated formation energy = 303 meV per atom
Space-group type = R3m
Excess energy over the best structure of this formula in the dataset = 0.083 eV per atom



Entry 2:
VASP calculation (PBE) on a geometry-optimized TaAgOs2 structure.

POSCAR file:
```
TaAgOs2
1.0
-2.2082 -3.8364 -1.9253
0.2236 -3.3351 -3.4825
2.2191 -3.7284 2.2652
Os Ag Ta
2 1 1
Direct
0.0130 0.0130 0.9818
0.4870 0.4870 0.5182
0.2500 0.2500 0.2500
0.7500 0.7500 0.7500
```

Calculated formation energy = 292 meV per atom
Space-group type = C2/m
Excess energy over the best structure of this formula in the dataset = 0.072 eV per atom



Entry 3:
VASP calculation (PBE) on a geometry-optimized TaAg4Os structure.

POSCAR file:
```
TaAg4Os
1.0
0.0000 3.7176 3.7176
3.7176 0.0000 3.7176
3.7176 3.7176 0.0000
Ag Ta Os
4 1 1
Direct
0.3751 0.3751 0.3751
0.8747 0.3751 0.3751
0.3751 0.8747 0.3751
0.3751 0.3751 0.8747
0.0000 0.0000 0.0000
0.7500 0.7500 0.7500
```

Calculated formation energy = 737 meV per atom
Space-group type = F-43m



Entry 4:
VASP calculation (PBE) on a geometry-optimized Ta2AgOs structure.

POSCAR file:
```
Ta2AgOs
1.0
-1.7276 2.5431 4.0969
-5.0682 0.7403 -0.0366
3.0332 -4.0719 -0.6755
Os Ag Ta
1 1 2
Direct
0.7500 0.2500 0.5000
0.5000 0.5000 0.0000
0.0000 0.0000 0.0000
0.2500 0.7500 0.5000
```

Calculated formation energy = 227 meV per atom
Space-group type = I-4m2
Excess energy over the best structure of this formula in the dataset = 0.157 eV per atom



Entry 5:
VASP calculation (PBE) on a geometry-optimized TaAgOs2 structure.

POSCAR file:
```
TaAgOs2
1.0
0.0000 3.1731 3.1731
3.1731 0.0000 3.1731
3.1731 3.1731 0.0000
Os Ta Ag
2 1 1
Direct
0.2500 0.2500 0.2500
0.7500 0.7500 0.7500
0.5000 0.5000 0.5000
0.0000 0.0000 0.0000
```

Calculated formation energy = 361 meV per atom
Space-group type = Fm-3m
Excess energy over the best structure of this formula in the dataset = 0.142 eV per atom



Entry 6:
VASP calculation (PBE) on a geometry-optimized Ta2AgOs structure.

POSCAR file:
```
Ta2AgOs
1.0
9.5695 0.0157 0.0092
9.1173 2.9069 0.0092
9.1173 1.4259 2.5331
Ta Os Ag
2 1 1
Direct
0.0051 0.0051 0.0051
0.2517 0.2517 0.2517
0.7448 0.7448 0.7448
0.4983 0.4983 0.4983
```

Calculated formation energy = 289 meV per atom
Space-group type = R3m
Excess energy over the best structure of this formula in the dataset = 0.219 eV per atom



Entry 7:
VASP calculation (PBE) on a geometry-optimized TaAgOs2 structure.

POSCAR file:
```
TaAgOs2
1.0
9.4666 0.0338 0.0198
9.0345 2.8276 0.0198
9.0345 1.3973 2.4583
Os Ag Ta
2 1 1
Direct
0.9960 0.9960 0.9960
0.5040 0.5040 0.5040
0.7500 0.7500 0.7500
0.2500 0.2500 0.2500
```

Calculated formation energy = 294 meV per atom
Space-group type = R-3m
Excess energy over the best structure of this formula in the dataset = 0.074 eV per atom



Entry 8:
VASP calculation (PBE) on a geometry-optimized Ta2AgOs structure.

POSCAR file:
```
Ta2AgOs
1.0
-4.3486 -1.9818 -0.5068
0.9536 0.0340 4.7100
-1.2773 2.7430 0.2383
Ag Ta Os
1 2 1
Direct
0.5000 0.0000 0.5000
0.0000 0.0000 0.0000
0.5000 0.5000 0.0000
0.0000 0.5000 0.5000
```

Calculated formation energy = 102 meV per atom
Space-group type = Cmmm
Excess energy over the best structure of this formula in the dataset = 0.033 eV per atom